[1]
Ho2Pd3Pt PBE optimized geometry; N(E_F) = 9.21 states/eV per cell; SG = No. 70; ΔE_f = -721 meV/atom; density = 11.26 g/cm³; total magnetization = 0.00 μB per formula unit
1.0
8.152 1.443 -5.570
-1.092 8.207 -5.570
-1.388 -1.898 9.463
Ho Pd Pt
8 12 4
direct
0.863 0.639 0.698
0.415 0.692 0.802
0.361 0.137 0.302
0.308 0.585 0.198
0.942 0.165 0.302
0.889 0.613 0.198
0.387 0.111 0.802
0.835 0.058 0.698
0.284 0.716 0.000
0.125 0.875 0.250
0.125 0.375 0.250
0.766 0.766 0.000
0.716 0.284 0.000
0.016 0.516 0.500
0.625 0.875 0.750
0.125 0.875 0.750
0.484 0.984 0.500
0.534 0.466 0.500
0.234 0.234 0.000
0.966 0.034 0.500
0.361 0.361 0.721
0.639 0.639 0.279
0.611 0.111 0.221
0.889 0.389 0.779

***

[2]
Ho4Pd3Pt3 PBE optimized geometry; N(E_F) = 6.03 states/eV per cell; SG = No. 220; ΔE_f = -870 meV/atom; density = 12.61 g/cm³; total magnetization = 0.00 μB per formula unit
1.0
-7.469 -1.408 2.853
-0.484 2.657 -7.656
4.318 -6.872 0.212
Ho Pd Pt
8 6 6
direct
0.000 0.000 0.256
0.500 0.256 0.500
0.744 0.244 0.244
0.000 0.000 0.756
0.756 0.500 0.000
0.500 0.756 0.500
0.256 0.500 0.000
0.244 0.744 0.744
0.625 0.750 0.875
0.875 0.250 0.625
0.125 0.375 0.250
0.375 0.125 0.750
0.250 0.875 0.125
0.750 0.625 0.375
0.125 0.750 0.375
0.375 0.250 0.125
0.625 0.875 0.250
0.875 0.625 0.750
0.250 0.375 0.625
0.750 0.125 0.875

***

[3]
HoPd2Pt2 PBE optimized geometry; N(E_F) = 4.74 states/eV per cell; SG = No. 139; ΔE_f = -260 meV/atom; density = 12.67 g/cm³; total magnetization = 0.00 μB per formula unit
1.0
4.948 0.000 0.000
0.000 4.948 0.000
-2.474 -2.474 4.110
Ho Pd Pt
1 2 2
direct
0.000 0.000 0.000
0.653 0.653 0.306
0.347 0.347 0.694
0.250 0.750 0.500
0.750 0.250 0.500

***

[4]
Ho2PdPt4 PBE optimized geometry; N(E_F) = 9.57 states/eV per cell; SG = No. 64; ΔE_f = -757 meV/atom; density = 14.71 g/cm³; total magnetization = 0.00 μB per formula unit
1.0
-6.387 -6.216 -1.293
1.508 -0.456 -5.257
2.853 -3.766 4.010
Ho Pd Pt
4 2 8
direct
0.000 0.645 0.289
0.000 0.355 0.711
0.500 0.855 0.711
0.500 0.145 0.289
0.000 0.000 0.000
0.500 0.500 0.000
0.750 0.749 0.000
0.750 0.500 0.500
0.750 0.000 0.500
0.750 0.249 0.000
0.250 0.751 0.000
0.250 0.000 0.500
0.250 0.500 0.500
0.250 0.251 0.000

***

[5]
HoPuPdPt PBE optimized geometry; N(E_F) = 13.33 states/eV per cell; SG = No. 38; ΔE_f = -853 meV/atom; density = 13.16 g/cm³; total magnetization = 5.60 μB per formula unit
1.0
3.772 0.000 0.000
0.000 4.440 0.000
-1.886 0.000 5.353
Ho Pu Pd Pt
1 1 1 1
direct
0.138 0.000 0.277
0.861 0.500 0.721
0.412 0.000 0.825
0.589 0.500 0.177

***

[6]
HoPuPdPt PBE optimized geometry; N(E_F) = 12.41 states/eV per cell; SG = No. 216; ΔE_f = -799 meV/atom; density = 13.71 g/cm³; total magnetization = 5.69 μB per formula unit
1.0
-2.762 -0.002 -4.115
-2.911 -3.877 -1.028
-4.925 0.446 0.322
Pd Ho Pt Pu
1 1 1 1
direct
0.750 0.750 0.750
0.000 0.000 0.000
0.250 0.250 0.250
0.500 0.500 0.500